[1]
Entry from Alexandria: a geometry-optimized PrTh2UN4 structure (PBE).

a = 5.1164 Å, b = 5.1164 Å, c = 6.2403 Å
α = 114.20°, β = 114.20°, γ = 90.00°
Closest atoms and distances in Å follow each position.
Sites, in units of the cell vectors:
Pr1 0.5000 0.5000 0.0000  6 N 2.57-2.59
Th1 0.2500 0.7500 0.5000  6 N 2.56-2.74
Th2 0.0000 0.0000 0.0000  6 N 2.49-2.57
U1 0.7500 0.2500 0.5000  6 N 2.34-2.56
N1 0.9803 0.4803 0.9605  1 U 2.34, 2 Th 2.57, 2 Pr 2.57
N2 0.5197 0.0197 0.0395  1 U 2.34, 2 Pr 2.57, 2 Th 2.57
N3 0.7547 0.7547 0.5094  3 Th 2.49-2.56, 2 U 2.56, 1 Pr 2.59
N4 0.2453 0.2453 0.4906  3 Th 2.49-2.56, 2 U 2.56, 1 Pr 2.59

Values from the calculation:
Size of the total moment ... 0.1969 μB per atom
Formation energy (no corrections) ... -1.409 eV/atom

[2]
Entry from Alexandria: a geometry-optimized Pr3Th2UN6 structure (PBE).

a = 6.2871 Å, b = 6.2871 Å, c = 6.2934 Å
α = 99.58°, β = 99.58°, γ = 119.97°
Closest atoms and distances in Å follow each position.
Sites, in units of the cell vectors:
Pr1 0.1662 0.8338 0.5000  6 N 2.63-2.83
Pr2 0.8338 0.1662 0.5000  6 N 2.63-2.83
Pr3 0.5000 0.5000 0.5000  6 N 2.64-2.81
Th1 0.3334 0.6666 0.0000  6 N 2.52-2.53
Th2 0.6666 0.3334 0.0000  6 N 2.52-2.53
U1 0.0000 0.0000 0.0000  6 N 2.31-2.33
N1 0.9288 0.6209 0.7866  1 U 2.31, 2 Th 2.52
N2 0.7637 0.7637 0.2169  1 U 2.33, 2 Th 2.53
N3 0.0712 0.3791 0.2134  1 U 2.31, 2 Th 2.52
N4 0.6209 0.9288 0.7866  1 U 2.31, 2 Th 2.52
N5 0.2363 0.2363 0.7831  1 U 2.33, 2 Th 2.53
N6 0.3791 0.0712 0.2134  1 U 2.31, 2 Th 2.52

Values from the calculation:
Size of the total moment ... 0.0000 μB per atom
Formation energy (no corrections) ... -1.468 eV/atom

[3]
Entry from Alexandria: a geometry-optimized Pr4Th3UN8 structure (PBE).

a = 7.2918 Å, b = 7.2896 Å, c = 7.2927 Å
α = 120.02°, β = 120.00°, γ = 90.00°
Closest atoms and distances in Å follow each position.
Sites, in units of the cell vectors:
Pr1 0.5000 0.0000 0.0000  6 N 2.82
Pr2 0.5000 0.0000 0.5000  6 N 2.64-2.65
Pr3 0.0000 0.0000 0.0000  6 N 2.64-2.65
Pr4 0.0000 0.0000 0.5000  6 N 2.64-2.65
Th1 0.5000 0.5000 0.0000  6 N 2.51-2.53
Th2 0.5000 0.5000 0.5000  6 N 2.51-2.53
Th3 0.0000 0.5000 0.5000  6 N 2.51-2.53
U1 0.0000 0.5000 0.0000  6 N 2.34
N1 0.2265 0.7158 0.9893  1 U 2.34, 2 Th 2.53
N2 0.2266 0.7158 0.4531  1 U 2.34, 2 Th 2.53
N3 0.2570 0.2710 0.5140  3 Th 2.51, 3 Pr 2.65
N4 0.7628 0.7158 0.9893  1 U 2.34, 2 Th 2.53
N5 0.2372 0.2842 0.0107  1 U 2.34, 2 Th 2.53
N6 0.7430 0.7290 0.4860  3 Th 2.51, 3 Pr 2.65
N7 0.7734 0.2842 0.5469  1 U 2.34, 2 Th 2.53
N8 0.7735 0.2842 0.0107  1 U 2.34, 2 Th 2.53

Values from the calculation:
Size of the total moment ... 0.0671 μB per atom
Formation energy (no corrections) ... -1.466 eV/atom

[4]
Entry from Alexandria: a geometry-optimized PrThVN4 structure (PBE).

a = 5.4422 Å, b = 5.4066 Å, c = 6.9584 Å
α = 90.00°, β = 113.02°, γ = 90.00°
Closest atoms and distances in Å follow each position.
Sites, in units of the cell vectors:
Pr1 0.6089 0.7500 0.2178  9 N 2.52-2.77
Pr2 0.3911 0.2500 0.7822  9 N 2.52-2.77
Th1 0.1085 0.2500 0.2169  1 N 2.29
Th2 0.8915 0.7500 0.7831  1 N 2.29
V1 0.2669 0.7500 0.5338  5 N 1.86-1.93
V2 0.7331 0.2500 0.4662  5 N 1.86-1.93
N1 0.9296 0.2500 0.8591  1 Th 2.29, 1 V 2.52
N2 0.4125 0.7500 0.8250  1 V 1.86
N3 0.0704 0.7500 0.1409  1 Th 2.29, 1 V 2.52
N4 0.5875 0.2500 0.1750  1 V 1.86
N5 0.5000 0.5000 0.5000  2 V 1.93
N6 0.0000 0.0000 0.5000  2 V 1.93
N7 0.5000 0.0000 0.5000  2 V 1.93
N8 0.0000 0.5000 0.5000  2 V 1.93

Values from the calculation:
Size of the total moment ... 0.0000 μB per atom
Formation energy (no corrections) ... -1.295 eV/atom

[5]
Entry from Alexandria: a geometry-optimized PrThWN4 structure (PBE).

a = 5.6145 Å, b = 5.5979 Å, c = 6.9349 Å
α = 90.00°, β = 113.88°, γ = 90.00°
Closest atoms and distances in Å follow each position.
Sites, in units of the cell vectors:
Pr1 0.6038 0.7500 0.2076  1 N 2.38
Pr2 0.3962 0.2500 0.7924  1 N 2.38
Th1 0.1056 0.2500 0.2112  1 N 2.29
Th2 0.8944 0.7500 0.7888  1 N 2.29
W1 0.2562 0.7500 0.5124  5 N 1.98-2.03
W2 0.7438 0.2500 0.4876  5 N 1.98-2.03
N1 0.9249 0.2500 0.8499  1 Th 2.29, 1 W 2.30
N2 0.4164 0.7500 0.8327  1 W 2.03
N3 0.0751 0.7500 0.1501  1 Th 2.29, 1 W 2.30
N4 0.5836 0.2500 0.1673  1 W 2.03
N5 0.5000 0.5000 0.5000  2 W 1.98
N6 0.0000 0.0000 0.5000  2 W 1.98
N7 0.5000 0.0000 0.5000  2 W 1.98
N8 0.0000 0.5000 0.5000  2 W 1.98

Values from the calculation:
Size of the total moment ... 0.0000 μB per atom
Formation energy (no corrections) ... -1.176 eV/atom

[6]
Entry from Alexandria: a geometry-optimized PrYTh2N4 structure (PBE).

a = 3.6387 Å, b = 6.3116 Å, c = 6.2543 Å
α = 109.55°, β = 90.00°, γ = 90.00°
Closest atoms and distances in Å follow each position.
Sites, in units of the cell vectors:
Pr1 0.5000 0.5000 0.0000  6 N 2.62-2.63
Y1 0.0000 0.0000 0.0000  6 N 2.57
Th1 0.5000 0.0000 0.5000  6 N 2.51
Th2 0.0000 0.5000 0.5000  6 N 2.56-2.57
N1 0.5000 0.2444 0.2551  3 Th 2.51-2.57, 2 Y 2.57, 1 Pr 2.62
N2 0.5000 0.7556 0.7449  3 Th 2.51-2.57, 2 Y 2.57, 1 Pr 2.62
N3 0.0000 0.2387 0.7380  3 Th 2.51-2.56, 1 Y 2.57, 2 Pr 2.63
N4 0.0000 0.7613 0.2620  3 Th 2.51-2.56, 1 Y 2.57, 2 Pr 2.63

Values from the calculation:
Size of the total moment ... 0.0000 μB per atom
Formation energy (no corrections) ... -1.540 eV/atom